Entry 1:
The following is a DFT calculation (GGA-PBE) of a relaxed structure of U2TeIr.

Lattice parameters (Å, degrees): 4.0624 4.0624 21.7915 90.00 90.00 120.00
Positions (direct):
U1 0.0000 0.0000 0.2352
U2 0.0000 0.0000 0.7648
U3 0.3333 0.6667 0.4314
U4 0.3333 0.6667 0.9019
U5 0.6667 0.3333 0.0981
U6 0.6667 0.3333 0.5686
Te1 0.0000 0.0000 0.0000
Te2 0.3333 0.6667 0.6667
Te3 0.6667 0.3333 0.3333
Ir1 0.0000 0.0000 0.5000
Ir2 0.3333 0.6667 0.1667
Ir3 0.6667 0.3333 0.8333

## Properties
The space group is R-3m. The energy relative to the elements, uncorrected is -1.84 eV/f.u. The total energy is -9.1059 eV/atom. Its density is 12.73 Mg/m³.

=====

Entry 2:
The following is a DFT calculation (GGA-PBE) of a relaxed structure of UTe2Ir.

Lattice parameters (Å, degrees): 3.7426 3.7426 28.1508 90.00 90.00 120.00
Positions (direct):
U1 0.0000 0.0000 0.0000
U2 0.3333 0.6667 0.6667
U3 0.6667 0.3333 0.3333
Te1 0.0000 0.0000 0.1123
Te2 0.0000 0.0000 0.8877
Te3 0.3333 0.6667 0.5544
Te4 0.3333 0.6667 0.7789
Te5 0.6667 0.3333 0.2211
Te6 0.6667 0.3333 0.4456
Ir1 0.0000 0.0000 0.5000
Ir2 0.3333 0.6667 0.1667
Ir3 0.6667 0.3333 0.8333

## Properties
The space group is R-3m. The energy relative to the elements, uncorrected is 1.26 eV/f.u. The total energy is -6.2929 eV/atom. Its density is 10.00 Mg/m³.

=====

Entry 3:
The following is a DFT calculation (GGA-PBE) of a relaxed structure of VTeIr3.

Lattice parameters (Å, degrees): 4.8232 4.8232 4.8232 90.00 90.00 90.00
Positions (direct):
V1 0.0000 0.0000 0.0000
Te1 0.5000 0.5000 0.5000
Ir1 0.0000 0.5000 0.5000
Ir2 0.5000 0.0000 0.5000
Ir3 0.5000 0.5000 0.0000

## Properties
The space group is Pm-3m. The energy relative to the elements, uncorrected is 8.63 eV/f.u. The total energy is -6.0422 eV/atom. Its density is 11.18 Mg/m³.

=====

Entry 4:
The following is a DFT calculation (GGA-PBE) of a relaxed structure of V3Te8Ir.

Lattice parameters (Å, degrees): 7.3514 7.3514 8.3104 116.66 116.66 59.95
Positions (direct):
V1 0.0000 0.0000 0.0000
V2 0.0000 0.5000 0.0000
V3 0.5000 0.0000 0.0000
Te1 0.2481 0.2481 0.2410
Te2 0.2493 0.7453 0.2364
Te3 0.2549 0.2549 0.7637
Te4 0.2547 0.7507 0.7636
Te5 0.7453 0.2493 0.2364
Te6 0.7451 0.7451 0.2363
Te7 0.7507 0.2547 0.7636
Te8 0.7519 0.7519 0.7590
Ir1 0.5000 0.5000 0.0000

## Properties
The space group is C2/m. The energy relative to the elements, uncorrected is -3.02 eV/f.u. The total energy is -5.3643 eV/atom. Its density is 6.82 Mg/m³.

=====

Entry 5:
The following is a DFT calculation (GGA-PBE) of a relaxed structure of VTe3Ir.

Lattice parameters (Å, degrees): 5.2471 5.2471 5.2471 90.00 90.00 90.00
Positions (direct):
V1 0.0000 0.0000 0.0000
Te1 0.0000 0.5000 0.5000
Te2 0.5000 0.0000 0.5000
Te3 0.5000 0.5000 0.0000
Ir1 0.5000 0.5000 0.5000

## Properties
The space group is Pm-3m. The energy relative to the elements, uncorrected is 4.00 eV/f.u. The total energy is -4.6802 eV/atom. Its density is 7.20 Mg/m³.

=====

Entry 6:
The following is a DFT calculation (GGA-PBE) of a relaxed structure of VTe2Ir.

Lattice parameters (Å, degrees): 3.9382 3.9382 24.6977 90.00 90.00 120.00
Positions (direct):
V1 0.0000 0.0000 0.0000
V2 0.3333 0.6667 0.6667
V3 0.6667 0.3333 0.3333
Te1 0.0000 0.0000 0.1104
Te2 0.0000 0.0000 0.8896
Te3 0.3333 0.6667 0.5563
Te4 0.3333 0.6667 0.7770
Te5 0.6667 0.3333 0.2230
Te6 0.6667 0.3333 0.4437
Ir1 0.0000 0.0000 0.5000
Ir2 0.3333 0.6667 0.1667
Ir3 0.6667 0.3333 0.8333

## Properties
The space group is R-3m. The energy relative to the elements, uncorrected is 1.43 eV/f.u. The total energy is -5.7081 eV/atom. Its density is 7.48 Mg/m³.

=====

Entry 7:
The following is a DFT calculation (GGA-PBE) of a relaxed structure of V2TeIr2.

Lattice parameters (Å, degrees): 7.5950 7.5950 2.8430 90.00 90.00 90.00
Positions (direct):
V1 0.1499 0.3501 0.0000
V2 0.3501 0.8501 0.0000
V3 0.6499 0.1499 0.0000
V4 0.8501 0.6499 0.0000
Te1 0.0000 0.0000 0.5000
Te2 0.5000 0.5000 0.5000
Ir1 0.1368 0.6368 0.5000
Ir2 0.3632 0.1368 0.5000
Ir3 0.6368 0.8632 0.5000
Ir4 0.8632 0.3632 0.5000

## Properties
The space group is P4/mbm. The energy relative to the elements, uncorrected is -0.55 eV/f.u. The total energy is -7.9303 eV/atom. Its density is 12.43 Mg/m³.

=====

Entry 8:
The following is a DFT calculation (GGA-PBE) of a relaxed structure of VTe2Ir.

Lattice parameters (Å, degrees): 6.6847 6.6847 6.6847 90.00 90.00 90.00
Positions (direct):
V1 0.0000 0.0000 0.0000
V2 0.0000 0.5000 0.5000
V3 0.5000 0.0000 0.5000
V4 0.5000 0.5000 0.0000
Te1 0.2500 0.2500 0.2500
Te2 0.2500 0.2500 0.7500
Te3 0.2500 0.7500 0.2500
Te4 0.2500 0.7500 0.7500
Te5 0.7500 0.2500 0.2500
Te6 0.7500 0.2500 0.7500
Te7 0.7500 0.7500 0.2500
Te8 0.7500 0.7500 0.7500
Ir1 0.0000 0.0000 0.5000
Ir2 0.0000 0.5000 0.0000
Ir3 0.5000 0.0000 0.0000
Ir4 0.5000 0.5000 0.5000

## Properties
The space group is Fm-3m. The energy relative to the elements, uncorrected is 1.40 eV/f.u. The total energy is -5.7168 eV/atom. Its density is 11.08 Mg/m³.

=====

Entry 9:
The following is a DFT calculation (GGA-PBE) of a relaxed structure of VTe3Ir.

Lattice parameters (Å, degrees): 5.0199 5.0199 5.0199 90.00 90.00 90.00
Positions (direct):
V1 0.0000 0.0000 0.0000
Te1 0.0000 0.0000 0.5000
Te2 0.0000 0.5000 0.0000
Te3 0.5000 0.0000 0.0000
Ir1 0.5000 0.5000 0.5000

## Properties
The space group is Pm-3m. The energy relative to the elements, uncorrected is 4.87 eV/f.u. The total energy is -4.5072 eV/atom. Its density is 8.22 Mg/m³.

=====

Entry 10:
The following is a DFT calculation (GGA-PBE) of a relaxed structure of VTe2Ir.

Lattice parameters (Å, degrees): 3.3380 3.3380 26.0551 90.00 90.00 120.00
Positions (direct):
V1 0.0000 0.0000 0.0000
V2 0.3333 0.6667 0.6667
V3 0.6667 0.3333 0.3333
Te1 0.0000 0.0000 0.4028
Te2 0.0000 0.0000 0.5972
Te3 0.3333 0.6667 0.0695
Te4 0.3333 0.6667 0.2638
Te5 0.6667 0.3333 0.7362
Te6 0.6667 0.3333 0.9305
Ir1 0.0000 0.0000 0.5000
Ir2 0.3333 0.6667 0.1667
Ir3 0.6667 0.3333 0.8333

## Properties
The space group is R-3m. The energy relative to the elements, uncorrected is 1.21 eV/f.u. The total energy is -5.7624 eV/atom. Its density is 9.87 Mg/m³.

=====

Entry 11:
The following is a DFT calculation (GGA-PBE) of a relaxed structure of V5Te12Ir.

Lattice parameters (Å, degrees): 6.3011 6.3011 14.5249 93.39 93.39 121.94
Positions (direct):
V1 0.0000 0.0000 0.0000
V2 0.1287 0.8713 0.5000
V3 0.3369 0.6631 0.0000
V4 0.6631 0.3369 0.0000
V5 0.8713 0.1287 0.5000
Te1 0.0397 0.7046 0.1198
Te2 0.1295 0.4873 0.3902
Te3 0.2222 0.2222 0.6340
Te4 0.2954 0.9603 0.8802
Te5 0.3695 0.3695 0.1215
Te6 0.4873 0.1295 0.3902
Te7 0.5127 0.8705 0.6098
Te8 0.6305 0.6305 0.8785
Te9 0.7046 0.0397 0.1198
Te10 0.7778 0.7778 0.3660
Te11 0.8705 0.5127 0.6098
Te12 0.9603 0.2954 0.8802
Ir1 0.5000 0.5000 0.5000

## Properties
The space group is C2/m. The energy relative to the elements, uncorrected is -5.02 eV/f.u. The total energy is -5.3988 eV/atom. Its density is 6.76 Mg/m³.

=====

Entry 12:
The following is a DFT calculation (GGA-PBE) of a relaxed structure of VTe2Ir.

Lattice parameters (Å, degrees): 5.9490 5.9490 12.4476 90.00 90.00 90.00
Positions (direct):
V1 0.0000 0.0000 0.0000
V2 0.0000 0.5000 0.2500
V3 0.5000 0.0000 0.7500
V4 0.5000 0.5000 0.5000
Te1 0.2390 0.2500 0.6250
Te2 0.2500 0.7390 0.8750
Te3 0.2500 0.7610 0.3750
Te4 0.2610 0.2500 0.1250
Te5 0.7390 0.7500 0.1250
Te6 0.7500 0.2390 0.3750
Te7 0.7500 0.2610 0.8750
Te8 0.7610 0.7500 0.6250
Ir1 0.0000 0.0000 0.5000
Ir2 0.0000 0.5000 0.7500
Ir3 0.5000 0.0000 0.2500
Ir4 0.5000 0.5000 0.0000

## Properties
The space group is I-42d. The energy relative to the elements, uncorrected is 1.07 eV/f.u. The total energy is -5.7977 eV/atom. Its density is 7.51 Mg/m³.

=====

Entry 13:
The following is a DFT calculation (GGA-PBE) of a relaxed structure of VTeIr3.

Lattice parameters (Å, degrees): 4.5943 4.5943 4.5943 90.00 90.00 90.00
Positions (direct):
V1 0.0000 0.0000 0.0000
Te1 0.5000 0.5000 0.5000
Ir1 0.0000 0.0000 0.5000
Ir2 0.0000 0.5000 0.0000
Ir3 0.5000 0.0000 0.0000

## Properties
The space group is Pm-3m. The energy relative to the elements, uncorrected is 5.65 eV/f.u. The total energy is -6.6387 eV/atom. Its density is 12.93 Mg/m³.

=====

Entry 14:
The following is a DFT calculation (GGA-PBE) of a relaxed structure of VTeIrW2.

Lattice parameters (Å, degrees): 4.8313 4.8313 4.6251 90.00 90.00 90.00
Positions (direct):
V1 0.0000 0.0000 0.0000
Te1 0.5000 0.5000 0.0000
Ir1 0.0000 0.0000 0.5000
W1 0.0000 0.5000 0.5000
W2 0.5000 0.0000 0.5000

## Properties
The space group is P4/mmm. The energy relative to the elements, uncorrected is 7.44 eV/f.u. The total energy is -7.9166 eV/atom. Its density is 11.36 Mg/m³.

=====

Entry 15:
The following is a DFT calculation (GGA-PBE) of a relaxed structure of TeIr2W.

Lattice parameters (Å, degrees): 2.9205 2.9205 8.1406 90.00 90.00 90.00
Positions (direct):
Te1 0.0000 0.0000 0.0000
Ir1 0.5000 0.5000 0.2816
Ir2 0.5000 0.5000 0.7184
W1 0.0000 0.0000 0.5000

## Properties
The space group is P4/mmm. The energy relative to the elements, uncorrected is 0.69 eV/f.u. The total energy is -8.2823 eV/atom. Its density is 16.64 Mg/m³.

=====

Entry 16:
The following is a DFT calculation (GGA-PBE) of a relaxed structure of TeIrW2.

Lattice parameters (Å, degrees): 3.0823 3.0823 25.9902 90.00 90.00 120.00
Positions (direct):
Te1 0.0000 0.0000 0.0000
Te2 0.3333 0.6667 0.6667
Te3 0.6667 0.3333 0.3333
Ir1 0.0000 0.0000 0.7594
Ir2 0.3333 0.6667 0.4261
Ir3 0.6667 0.3333 0.0928
W1 0.0000 0.0000 0.2478
W2 0.0000 0.0000 0.5033
W3 0.3333 0.6667 0.1699
W4 0.3333 0.6667 0.9144
W5 0.6667 0.3333 0.5811
W6 0.6667 0.3333 0.8366

## Properties
The space group is R3m. The energy relative to the elements, uncorrected is 1.97 eV/f.u. The total energy is -8.9860 eV/atom. Its density is 16.02 Mg/m³.

=====

Entry 17:
The following is a DFT calculation (GGA-PBE) of a relaxed structure of TeIr2W.

Lattice parameters (Å, degrees): 4.0378 4.0378 8.1151 90.00 90.00 90.00
Positions (direct):
Te1 0.0000 0.0000 0.0000
Te2 0.5000 0.5000 0.5000
Ir1 0.0000 0.5000 0.2500
Ir2 0.0000 0.5000 0.7500
Ir3 0.5000 0.0000 0.2500
Ir4 0.5000 0.0000 0.7500
W1 0.0000 0.0000 0.5000
W2 0.5000 0.5000 0.0000

## Properties
The space group is I4/mmm. The energy relative to the elements, uncorrected is 1.81 eV/f.u. The total energy is -8.0022 eV/atom. Its density is 17.47 Mg/m³.

=====

Entry 18:
The following is a DFT calculation (GGA-PBE) of a relaxed structure of TeIr2W.

Lattice parameters (Å, degrees): 2.9294 4.2208 12.3552 90.00 90.00 90.00
Positions (direct):
Te1 0.0000 0.0000 0.0000
Te2 0.5000 0.5000 0.5000
Ir1 0.0000 0.0000 0.3916
Ir2 0.0000 0.5000 0.2523
Ir3 0.5000 0.0000 0.7523
Ir4 0.5000 0.5000 0.8916
W1 0.0000 0.5000 0.7061
W2 0.5000 0.0000 0.2061

## Properties
The space group is Imm2. The energy relative to the elements, uncorrected is 1.85 eV/f.u. The total energy is -7.9913 eV/atom. Its density is 15.13 Mg/m³.

=====

Entry 19:
The following is a DFT calculation (GGA-PBE) of a relaxed structure of TeIrW2.

Lattice parameters (Å, degrees): 3.1014 3.1014 7.0061 90.00 90.00 90.00
Positions (direct):
Te1 0.0000 0.0000 0.0000
Ir1 0.0000 0.0000 0.5000
W1 0.5000 0.5000 0.2552
W2 0.5000 0.5000 0.7448

## Properties
The space group is P4/mmm. The energy relative to the elements, uncorrected is 1.94 eV/f.u. The total energy is -8.9927 eV/atom. Its density is 16.94 Mg/m³.

=====

Entry 20:
The following is a DFT calculation (GGA-PBE) of a relaxed structure of TeIrW3.

Lattice parameters (Å, degrees): 4.8107 4.8107 4.8107 90.00 90.00 90.00
Positions (direct):
Te1 0.0000 0.0000 0.0000
Ir1 0.5000 0.5000 0.5000
W1 0.0000 0.5000 0.5000
W2 0.5000 0.0000 0.5000
W3 0.5000 0.5000 0.0000

## Properties
The space group is Pm-3m. The energy relative to the elements, uncorrected is 9.29 eV/f.u. The total energy is -8.3147 eV/atom. Its density is 13.00 Mg/m³.